1.
Computed, not measured: an optimized crystal structure of V3W2 at the PBE level of DFT. Values from VASP.

Values from the calculation:
Space group: Fddd (70)

```
&SYSTEM
  ibrav = 0, nat = 10, ntyp = 2
/
ATOMIC_SPECIES
V 50.94 V.upf
W 183.84 W.upf
CELL_PARAMETERS angstrom
0.000 4.560 6.467
2.507 0.000 6.467
2.507 4.560 0.000
ATOMIC_POSITIONS angstrom
V 0.627 1.140 0.360
V 0.627 1.140 2.874
V 1.881 3.420 4.850
V 3.134 5.700 8.084
V 4.388 7.981 10.061
V 4.388 7.981 12.574
W 1.881 3.420 2.266
W 3.134 5.700 5.500
W 1.881 3.420 7.434
W 3.134 5.700 10.668
```

***

2.
Computed, not measured: an optimized crystal structure of V4W at the PBE level of DFT. Values from VASP.

Values from the calculation:
Space group: Pm-3m (221)

```
&SYSTEM
  ibrav = 0, nat = 5, ntyp = 2
/
ATOMIC_SPECIES
V 50.94 V.upf
W 183.84 W.upf
CELL_PARAMETERS angstrom
4.569 0.000 0.000
0.000 4.569 0.000
0.000 0.000 4.569
ATOMIC_POSITIONS angstrom
V 0.000 0.000 0.000
V 0.000 2.285 2.285
V 2.285 0.000 2.285
V 2.285 2.285 0.000
W 2.285 2.285 2.285
```

***

We obtain total energy values of -10.509, -8.381 eV per atom for the records listed above, in that order.
We obtain D(E_F) values of 10.537, 6.978 states/eV/cell for the records listed above, in that order.